# 1
The following is a DFT calculation (PBE) of crystalline Dy2Al4GaAu3 at its relaxed geometry.

Lattice parameters (Å, degrees): 4.246 4.246 10.887 90.00 90.00 90.00
Space group P-4m2 (No. 115)
One atom of each set of equivalent atoms:
Dy: 0.000 0.500 0.247 [2 per cell]
Al: 0.000 0.000 0.500 [1 per cell]
Al: 0.000 0.500 0.862 [2 per cell]
Al: 0.500 0.500 0.500 [1 per cell]
Ga: 0.500 0.500 0.000 [1 per cell]
Au: 0.000 0.000 0.000 [1 per cell]
Au: 0.000 0.500 0.636 [2 per cell]

Results
**Volume**: 19.6 Å³ per atom
**Calculated total energy**: -43.634 eV for the cell shown
**ΔH_f (0 K)**: -0.660 eV per atom
**DOS(E_F)**: 3.81 states/eV/f.u.
**Total moment**: 0.000 μB per formula unit



# 2
The following is a DFT calculation (PBE) of crystalline LaTb2NdY5 at its relaxed geometry.

Lattice parameters (Å, degrees): 8.805 8.805 15.511 90.00 90.00 90.00
Space group I4/mcm (No. 140)
One atom of each set of equivalent atoms:
La: 0.000 0.000 0.250 [4 per cell]
Tb: 0.117 0.383 0.000 [8 per cell]
Nd: 0.000 0.500 0.250 [4 per cell]
Y: 0.000 0.000 0.000 [4 per cell]
Y: 0.203 0.297 0.367 [16 per cell]

Results
**Volume**: 33.4 Å³ per atom
**Calculated total energy**: -196.069 eV for the cell shown
**ΔH_f (0 K)**: 0.251 eV per atom
**DOS(E_F)**: 11.16 states/eV/f.u.
**Total moment**: 0.000 μB per formula unit



# 3
The following is a DFT calculation (PBE) of crystalline Cd3FeCl8 at its relaxed geometry.

Lattice parameters (Å, degrees): 7.7437 7.7437 11.7215 90.00 90.00 120.00
Space group P6_3mc (No. 186)
One atom of each set of equivalent atoms:
Cd: 0.1688 0.3376 0.0000 [6 per cell]
Fe: 0.3333 0.6667 0.2680 [2 per cell]
Cl: 0.0000 0.0000 0.1163 [2 per cell]
Cl: 0.0356 0.5178 0.1416 [6 per cell]
Cl: 0.1750 0.3500 0.3832 [6 per cell]
Cl: 0.3333 0.6667 0.8756 [2 per cell]

Results
**Volume**: 25.4 Å³ per atom
**Calculated total energy**: -74.945 eV for the cell shown
**DOS(E_F)**: 6.98 states/eV/f.u.
**Total moment**: 4.000 μB per formula unit



# 4
The following is a DFT calculation (PBE) of crystalline RbBePb2Br at its relaxed geometry.

Lattice parameters (Å, degrees): 5.842 5.842 6.257 90.00 90.00 90.00
Space group P4/mmm (No. 123)
One atom of each set of equivalent atoms:
Rb: 0.000 0.000 0.000 [1 per cell]
Be: 0.500 0.500 0.000 [1 per cell]
Pb: 0.000 0.500 0.500 [2 per cell]
Br: 0.000 0.000 0.500 [1 per cell]

Results
**Volume**: 42.7 Å³ per atom
**Calculated total energy**: -10.500 eV for the cell shown
**DOS(E_F)**: 4.22 states/eV/f.u.
**Total moment**: 0.000 μB per formula unit



# 5
The following is a DFT calculation (PBE) of crystalline UBiTe2 at its relaxed geometry.

Lattice parameters (Å, degrees): 5.6731 5.6731 12.6675 90.00 90.00 120.00
Space group R-3m (No. 166, hexagonal axes)
One atom of each set of equivalent atoms:
U: 0.0000 0.0000 0.0000 [3 per cell]
Bi: 0.0000 0.0000 0.5000 [3 per cell]
Te: 0.0000 0.0000 0.2604 [6 per cell]

Results
**Volume**: 29.4 Å³ per atom
**Calculated total energy**: -65.350 eV for the cell shown
**ΔE to the lowest computed polymorph**: 229 meV/atom
**DOS(E_F)**: 10.24 states/eV/f.u.
**Total moment**: 3.129 μB per formula unit



# 6
The following is a DFT calculation (PBE) of crystalline TmThRu2 at its relaxed geometry.

Lattice parameters (Å, degrees): 4.883 4.883 3.473 90.00 90.00 90.00
Space group P4/mmm (No. 123)
One atom of each set of equivalent atoms:
Tm: 0.000 0.000 0.000 [1 per cell]
Th: 0.500 0.500 0.000 [1 per cell]
Ru: 0.000 0.500 0.500 [2 per cell]

Results
**Volume**: 20.7 Å³ per atom
**Calculated total energy**: -32.324 eV for the cell shown
**ΔH_f (0 K)**: -0.470 eV per atom
**DOS(E_F)**: 1.43 states/eV/f.u.
**Total moment**: 0.000 μB per formula unit